(1)
PrNdCdRu: relaxed, PBE-GGA.

abc: 7.3794 7.3794 7.3794
angles: 90.00 90.00 90.00
Last column: nearest neighbours and their distance in Å.
Sites, in units of the cell vectors:
Pr 0.0000 0.0000 0.0000  4 Cd 3.20, 4 Ru 3.20
Pr 0.0000 0.5000 0.5000  4 Cd 3.20, 4 Ru 3.20
Pr 0.5000 0.0000 0.5000  4 Cd 3.20, 4 Ru 3.20
Pr 0.5000 0.5000 0.0000  4 Cd 3.20, 4 Ru 3.20
Nd 0.0000 0.0000 0.5000  4 Ru 3.20, 4 Cd 3.20
Nd 0.0000 0.5000 0.0000  4 Ru 3.20, 4 Cd 3.20
Nd 0.5000 0.0000 0.0000  4 Ru 3.20, 4 Cd 3.20
Nd 0.5000 0.5000 0.5000  4 Ru 3.20, 4 Cd 3.20
Cd 0.2500 0.2500 0.2500  4 Pr 3.20, 4 Nd 3.20
Cd 0.2500 0.7500 0.7500  4 Pr 3.20, 4 Nd 3.20
Cd 0.7500 0.2500 0.7500  4 Pr 3.20, 4 Nd 3.20
Cd 0.7500 0.7500 0.2500  4 Pr 3.20, 4 Nd 3.20
Ru 0.2500 0.2500 0.7500  4 Pr 3.20, 4 Nd 3.20
Ru 0.2500 0.7500 0.2500  4 Pr 3.20, 4 Nd 3.20
Ru 0.7500 0.2500 0.2500  4 Pr 3.20, 4 Nd 3.20
Ru 0.7500 0.7500 0.7500  4 Pr 3.20, 4 Nd 3.20

Output
* formation energy: -147.7 meV per atom
* offset from the most stable computed form: 78 meV/atom
* total moment: 0.000 μB per formula unit



(2)
Ba2TlCd5: relaxed, PBE-GGA.

abc: 9.6949 9.6949 10.4305
angles: 90.00 90.00 149.24
Last column: nearest neighbours and their distance in Å.
Sites, in units of the cell vectors:
Ba 0.0000 0.0000 0.0000  6 Cd 3.66-3.86, 4 Tl 3.82
Ba 0.0000 0.0000 0.5000  6 Cd 3.66-3.86, 4 Tl 3.82
Ba 0.2019 0.7981 0.7500  13 Cd 3.63-3.89, 2 Tl 3.73
Ba 0.7981 0.2019 0.2500  13 Cd 3.63-3.89, 2 Tl 3.73
Tl 0.4428 0.5572 0.2500  3 Cd 2.96-3.01
Tl 0.5572 0.4428 0.7500  3 Cd 2.96-3.01
Cd 0.1861 0.8139 0.1084  4 Cd 2.95-3.14
Cd 0.1861 0.8139 0.3916  4 Cd 2.95-3.14
Cd 0.3464 0.6536 0.0184  4 Cd 2.95-3.14, 1 Tl 3.01
Cd 0.3464 0.6536 0.4816  4 Cd 2.95-3.14, 1 Tl 3.01
Cd 0.3989 0.6011 0.7500  1 Tl 2.96, 2 Cd 2.97
Cd 0.6011 0.3989 0.2500  1 Tl 2.96, 2 Cd 2.97
Cd 0.6536 0.3464 0.5184  4 Cd 2.95-3.14, 1 Tl 3.01
Cd 0.6536 0.3464 0.9816  4 Cd 2.95-3.14, 1 Tl 3.01
Cd 0.8139 0.1861 0.6084  4 Cd 2.95-3.14
Cd 0.8139 0.1861 0.8916  4 Cd 2.95-3.14

Output
* formation energy: -290.5 meV per atom
* total moment: 0.000 μB per formula unit



(3)
La2NdAl: relaxed, PBE-GGA.

abc: 5.4389 7.2136 12.4034
angles: 90.00 90.00 90.00
Last column: nearest neighbours and their distance in Å.
Sites, in units of the cell vectors:
La 0.0000 0.0000 0.0000  2 La 3.26, 4 Al 3.31-3.61, 4 Nd 3.52
La 0.0000 0.2309 0.7743  4 La 3.26-3.50, 4 Al 3.32-3.59, 2 Nd 3.55
La 0.0000 0.2691 0.2743  4 La 3.26-3.50, 4 Al 3.32-3.59, 2 Nd 3.55
La 0.0000 0.5000 0.5000  2 La 3.26, 4 Al 3.31-3.61, 4 Nd 3.52
La 0.0000 0.7309 0.2743  4 La 3.26-3.50, 4 Al 3.32-3.59, 2 Nd 3.55
La 0.0000 0.7691 0.7743  4 La 3.26-3.50, 4 Al 3.32-3.59, 2 Nd 3.55
La 0.5000 0.0000 0.3588  2 Nd 3.32, 4 Al 3.36-3.61, 4 La 3.50
La 0.5000 0.5000 0.8588  2 Nd 3.32, 4 Al 3.36-3.61, 4 La 3.50
Nd 0.5000 0.2320 0.5902  4 Al 3.32-3.60, 5 La 3.32-3.55, 1 Nd 3.35
Nd 0.5000 0.2680 0.0902  4 Al 3.32-3.60, 5 La 3.32-3.55, 1 Nd 3.35
Nd 0.5000 0.7320 0.0902  4 Al 3.32-3.60, 5 La 3.32-3.55, 1 Nd 3.35
Nd 0.5000 0.7680 0.5902  4 Al 3.32-3.60, 5 La 3.32-3.55, 1 Nd 3.35
Al 0.0000 0.0000 0.5178  4 Nd 3.32, 8 La 3.36-3.61
Al 0.0000 0.5000 0.0178  4 Nd 3.32, 8 La 3.36-3.61
Al 0.5000 0.0000 0.8474  8 La 3.31-3.61, 4 Nd 3.58-3.60
Al 0.5000 0.5000 0.3474  8 La 3.31-3.61, 4 Nd 3.58-3.60

Output
* formation energy: -192.6 meV per atom
* offset from the most stable computed form: 0 meV/atom
* total moment: 0.000 μB per formula unit



(4)
ZrP2BrCl: relaxed, PBE-GGA.

abc: 4.8571 4.8571 4.7326
angles: 90.00 90.00 90.00
Last column: nearest neighbours and their distance in Å.
Sites, in units of the cell vectors:
Zr 0.0000 0.0000 0.0000  8 P 3.39, 4 Cl 3.43
P 0.0000 0.5000 0.5000  2 Br 2.43
P 0.5000 0.0000 0.5000  2 Br 2.43
Br 0.5000 0.5000 0.5000  2 Cl 2.37, 4 P 2.43
Cl 0.5000 0.5000 0.0000  2 Br 2.37

Output
* offset from the most stable computed form: 944 meV/atom
* energy relative to the elements, uncorrected: 0.919 eV/atom
* total moment: 0.001 μB per formula unit



(5)
ScH5Ru: relaxed, PBE-GGA.

abc: 4.4034 4.4034 6.8463
angles: 112.70 112.70 63.43
Last column: nearest neighbours and their distance in Å.
Sites, in units of the cell vectors:
Sc 0.0000 0.0000 0.2500  10 H 2.28-2.32
Sc 0.0000 0.0000 0.7500  10 H 2.28-2.32
H 0.0584 0.6067 0.4158  1 Ru 1.69
H 0.0577 0.6130 0.9184  1 Ru 1.69
H 0.3870 0.9423 0.5816  1 Ru 1.69
H 0.3933 0.9416 0.0842  1 Ru 1.69
H 0.4986 0.5014 0.7500  2 Ru 1.71
H 0.5014 0.4986 0.2500  2 Ru 1.71
H 0.6067 0.0584 0.9158  1 Ru 1.69
H 0.6130 0.0577 0.4184  1 Ru 1.69
H 0.9423 0.3870 0.0816  1 Ru 1.69
H 0.9416 0.3933 0.5842  1 Ru 1.69
Ru 0.5000 0.5000 0.0000  6 H 1.69-1.71
Ru 0.5000 0.5000 0.5000  6 H 1.69-1.71

Output
* VASP energy: -0.1791 Ha/atom
* total moment: 0.000 μB per formula unit



(6)
Dy4ZnAu2: relaxed, PBE-GGA.

abc: 8.6654 8.6654 8.6654
angles: 33.76 33.76 33.76
Last column: nearest neighbours and their distance in Å.
Sites, in units of the cell vectors:
Dy 0.1230 0.1230 0.1230  4 Au 3.07-3.13, 3 Zn 3.10
Dy 0.3739 0.3739 0.3739  4 Au 3.02-3.08, 1 Zn 3.09
Dy 0.6261 0.6261 0.6261  4 Au 3.02-3.08, 1 Zn 3.09
Dy 0.8770 0.8770 0.8770  4 Au 3.07-3.13, 3 Zn 3.10
Zn 0.5000 0.5000 0.5000  8 Dy 3.09-3.10
Au 0.2506 0.2506 0.2506  8 Dy 3.02-3.13
Au 0.7494 0.7494 0.7494  8 Dy 3.02-3.13

Output
* formation energy: -539.1 meV per atom
* total moment: 0.000 μB per formula unit



(7)
MgH2RuRh: relaxed, PBE-GGA.

abc: 3.4969 3.4969 5.8387
angles: 90.00 90.00 90.00
Last column: nearest neighbours and their distance in Å.
Sites, in units of the cell vectors:
Mg 0.0000 0.0000 0.0000  4 H 1.75
H 0.0000 0.5000 0.0000  2 Mg 1.75
H 0.5000 0.0000 0.0000  2 Mg 1.75
Ru 0.0000 0.0000 0.5000  4 Rh 2.47
Rh 0.5000 0.5000 0.5000  4 Ru 2.47

Output
* offset from the most stable computed form: 524 meV/atom
* total moment: 0.000 μB per formula unit



(8)
Ho2Au: relaxed, PBE-GGA.

abc: 7.0759 4.9466 8.9118
angles: 90.00 90.00 90.00
Last column: nearest neighbours and their distance in Å.
Sites, in units of the cell vectors:
Ho 0.0129 0.2500 0.1767  3 Au 2.94-3.14
Ho 0.1494 0.2500 0.5810  4 Au 2.89-3.04
Ho 0.3506 0.7500 0.0810  4 Au 2.89-3.04
Ho 0.4871 0.7500 0.6767  3 Au 2.94-3.14
Ho 0.5129 0.2500 0.3233  3 Au 2.94-3.14
Ho 0.6494 0.2500 0.9190  4 Au 2.89-3.04
Ho 0.8506 0.7500 0.4190  4 Au 2.89-3.04
Ho 0.9871 0.7500 0.8233  3 Au 2.94-3.14
Au 0.2415 0.2500 0.9018  7 Ho 2.89-3.14
Au 0.2585 0.7500 0.4018  7 Ho 2.89-3.14
Au 0.7415 0.2500 0.5982  7 Ho 2.89-3.14
Au 0.7585 0.7500 0.0982  7 Ho 2.89-3.14

Output
* formation energy: -646.0 meV per atom
* total moment: 0.000 μB per formula unit



(9)
Sr2Si2GeAu6: relaxed, PBE-GGA.

abc: 8.7381 8.7381 8.7381
angles: 45.65 45.65 45.65
Last column: nearest neighbours and their distance in Å.
Sites, in units of the cell vectors:
Sr 0.2145 0.2145 0.2145  9 Au 3.42-3.49
Sr 0.7855 0.7855 0.7855  9 Au 3.42-3.49
Si 0.4501 0.4501 0.4501  1 Si 2.34, 3 Au 2.37
Si 0.5499 0.5499 0.5499  1 Si 2.34, 3 Au 2.37
Ge 0.0000 0.0000 0.0000  6 Au 2.62
Au 0.1955 0.7722 0.7722  1 Si 2.37, 1 Ge 2.62
Au 0.2278 0.2278 0.8045  1 Si 2.37, 1 Ge 2.62
Au 0.2278 0.8045 0.2278  1 Si 2.37, 1 Ge 2.62
Au 0.7722 0.1955 0.7722  1 Si 2.37, 1 Ge 2.62
Au 0.7722 0.7722 0.1955  1 Si 2.37, 1 Ge 2.62
Au 0.8045 0.2278 0.2278  1 Si 2.37, 1 Ge 2.62

Output
* energy relative to the elements, uncorrected: -0.331 eV/atom
* total moment: 0.000 μB per formula unit



(10)
LaMn2Au: relaxed, PBE-GGA.

abc: 4.2153 4.2153 8.9623
angles: 90.00 90.00 90.00
Last column: nearest neighbours and their distance in Å.
Sites, in units of the cell vectors:
La 0.0000 0.0000 0.0000  8 Mn 2.98-3.08, 4 Au 3.08
La 0.5000 0.5000 0.5000  8 Mn 2.98-3.08, 4 Au 3.08
Mn 0.0000 0.0000 0.5000  4 La 2.98, 4 Mn 3.08, 4 Au 3.08
Mn 0.0000 0.5000 0.7500  4 Au 2.98, 4 La 3.08, 4 Mn 3.08
Mn 0.5000 0.0000 0.2500  4 Au 2.98, 4 Mn 3.08, 4 La 3.08
Mn 0.5000 0.5000 0.0000  4 La 2.98, 4 Mn 3.08, 4 Au 3.08
Au 0.0000 0.5000 0.2500  8 Mn 2.98-3.08, 4 La 3.08
Au 0.5000 0.0000 0.7500  8 Mn 2.98-3.08, 4 La 3.08

Output
* formation energy: 143.9 meV per atom
* total moment: 6.601 μB per formula unit